# Te2Mo2WSe4 (GGA-PBE, optimized geometry)
# total magnetic moment: 0.000 μB/atom
# final energy: -6.550 eV per atom
# formation energy from raw total energies: -4.1 eV/f.u.
data_Te2Mo2WSe4
_chemical_formula_sum 'Te2 Mo2 W1 Se4'
_cell_length_a 3.3993
_cell_length_b 3.3993
_cell_length_c 22.2692
_cell_angle_alpha 90.00
_cell_angle_beta 90.00
_cell_angle_gamma 120.00
_symmetry_space_group_name_H-M 'P 3 m 1'
_symmetry_Int_Tables_number 156
loop_
_symmetry_equiv_pos_as_xyz
'x,y,z'
'-y,x-y,z'
'-x+y,-x,z'
'-y,-x,z'
'-x+y,y,z'
'x,x-y,z'
loop_
_atom_site_label
_atom_site_fract_x
_atom_site_fract_y
_atom_site_fract_z
Te1 0.0000 0.0000 0.0000
Te2 0.0000 0.0000 0.1691
Mo1 0.0000 0.0000 0.4120
Mo2 0.3333 0.6667 0.7271
W1 0.3333 0.6667 0.0845
Se1 0.0000 0.0000 0.6531
Se2 0.0000 0.0000 0.8010
Se3 0.3333 0.6667 0.3380
Se4 0.3333 0.6667 0.4860

# Te2MoWSe2 (GGA-PBE, optimized geometry)
# total magnetic moment: 0.000 μB/atom
# final energy: -6.566 eV per atom
# formation energy from raw total energies: -2.4 eV/f.u.
data_Te2MoWSe2
_chemical_formula_sum 'Te2 Mo1 W1 Se2'
_cell_length_a 3.4309
_cell_length_b 3.4309
_cell_length_c 14.6169
_cell_angle_alpha 90.00
_cell_angle_beta 90.00
_cell_angle_gamma 120.00
_symmetry_space_group_name_H-M 'P 3 m 1'
_symmetry_Int_Tables_number 156
loop_
_symmetry_equiv_pos_as_xyz
'x,y,z'
'-y,x-y,z'
'-x+y,-x,z'
'-y,-x,z'
'-x+y,y,z'
'x,x-y,z'
loop_
_atom_site_label
_atom_site_fract_x
_atom_site_fract_y
_atom_site_fract_z
Te1 0.0000 0.0000 0.0000
Te2 0.0000 0.0000 0.2544
Mo1 0.3333 0.6667 0.1272
W1 0.0000 0.0000 0.6258
Se1 0.3333 0.6667 0.5133
Se2 0.3333 0.6667 0.7382

# Te4MoW2Se2 (GGA-PBE, optimized geometry)
# total magnetic moment: 0.000 μB/atom
# final energy: -6.509 eV per atom
# formation energy from raw total energies: -2.3 eV/f.u.
# DOS(E_F): 0.15 states/eV/cell
data_Te4MoW2Se2
_chemical_formula_sum 'Te4 Mo1 W2 Se2'
_cell_length_a 3.4769
_cell_length_b 3.4769
_cell_length_c 22.8259
_cell_angle_alpha 90.00
_cell_angle_beta 90.00
_cell_angle_gamma 120.00
_symmetry_space_group_name_H-M 'P -6 m 2'
_symmetry_Int_Tables_number 187
_symmetry_space_group_name_Hall 'P -6 2'
loop_
_atom_site_label
_atom_site_fract_x
_atom_site_fract_y
_atom_site_fract_z
Te1 0.0000 0.0000 0.1058
Te2 0.0000 0.0000 0.2679
Mo1 0.0000 0.0000 0.5000
W1 0.6667 0.3333 0.1868
Se1 0.6667 0.3333 0.4289

# Te2MoWSe2 (GGA-PBE, optimized geometry)
# total magnetic moment: 0.000 μB/atom
# final energy: -6.546 eV per atom
# formation energy from raw total energies: -2.2 eV/f.u.
data_Te2MoWSe2
_chemical_formula_sum 'Te4 Mo2 W2 Se4'
_cell_length_a 3.4346
_cell_length_b 3.4346
_cell_length_c 29.1454
_cell_angle_alpha 90.00
_cell_angle_beta 90.00
_cell_angle_gamma 120.00
_symmetry_space_group_name_H-M 'P 3 m 1'
_symmetry_Int_Tables_number 156
loop_
_symmetry_equiv_pos_as_xyz
'x,y,z'
'-y,x-y,z'
'-x+y,-x,z'
'-y,-x,z'
'-x+y,y,z'
'x,x-y,z'
loop_
_atom_site_label
_atom_site_fract_x
_atom_site_fract_y
_atom_site_fract_z
Te1 0.0000 0.0000 0.0000
Te2 0.0000 0.0000 0.1275
Te3 0.3333 0.6667 0.2598
Te4 0.3333 0.6667 0.3880
Mo1 0.0000 0.0000 0.8149
Mo2 0.3333 0.6667 0.0637
W1 0.0000 0.0000 0.3239
W2 0.3333 0.6667 0.5742
Se1 0.0000 0.0000 0.5178
Se2 0.0000 0.0000 0.6305
Se3 0.3333 0.6667 0.7587
Se4 0.3333 0.6667 0.8710

# Te4MoW2Se2 (GGA-PBE, optimized geometry)
# total magnetic moment: 0.000 μB/atom
# final energy: -6.535 eV per atom
# formation energy from raw total energies: -2.5 eV/f.u.
data_Te4MoW2Se2
_chemical_formula_sum 'Te4 Mo1 W2 Se2'
_cell_length_a 3.4723
_cell_length_b 3.4723
_cell_length_c 22.8410
_cell_angle_alpha 90.00
_cell_angle_beta 90.00
_cell_angle_gamma 120.00
_symmetry_space_group_name_H-M 'P 3 m 1'
_symmetry_Int_Tables_number 156
loop_
_symmetry_equiv_pos_as_xyz
'x,y,z'
'-y,x-y,z'
'-x+y,-x,z'
'-y,-x,z'
'-x+y,y,z'
'x,x-y,z'
loop_
_atom_site_label
_atom_site_fract_x
_atom_site_fract_y
_atom_site_fract_z
Te1 0.0000 0.0000 0.0000
Te2 0.0000 0.0000 0.1613
Te3 0.3333 0.6667 0.3310
Te4 0.3333 0.6667 0.4931
Mo1 0.3333 0.6667 0.0806
W1 0.0000 0.0000 0.4121
W2 0.0000 0.0000 0.7614
Se1 0.3333 0.6667 0.6900
Se2 0.3333 0.6667 0.8328

# Te2MoW2Se4 (GGA-PBE, optimized geometry)
# total magnetic moment: 0.000 μB/atom
# final energy: -6.745 eV per atom
# formation energy from raw total energies: -3.7 eV/f.u.
data_Te2MoW2Se4
_chemical_formula_sum 'Te2 Mo1 W2 Se4'
_cell_length_a 3.3971
_cell_length_b 3.3971
_cell_length_c 22.1834
_cell_angle_alpha 90.00
_cell_angle_beta 90.00
_cell_angle_gamma 120.00
_symmetry_space_group_name_H-M 'P 3 m 1'
_symmetry_Int_Tables_number 156
loop_
_symmetry_equiv_pos_as_xyz
'x,y,z'
'-y,x-y,z'
'-x+y,-x,z'
'-y,-x,z'
'-x+y,y,z'
'x,x-y,z'
loop_
_atom_site_label
_atom_site_fract_x
_atom_site_fract_y
_atom_site_fract_z
Te1 0.0000 0.0000 0.0000
Te2 0.0000 0.0000 0.1699
Mo1 0.0000 0.0000 0.7579
W1 0.0000 0.0000 0.4158
W2 0.3333 0.6667 0.0849
Se1 0.3333 0.6667 0.3412
Se2 0.3333 0.6667 0.4904
Se3 0.3333 0.6667 0.6836
Se4 0.3333 0.6667 0.8322

# Te2Mo2WSe4 (GGA-PBE, optimized geometry)
# total magnetic moment: 0.000 μB/atom
# final energy: -6.577 eV per atom
# formation energy from raw total energies: -4.4 eV/f.u.
data_Te2Mo2WSe4
_chemical_formula_sum 'Te2 Mo2 W1 Se4'
_cell_length_a 3.3948
_cell_length_b 3.3948
_cell_length_c 22.3234
_cell_angle_alpha 90.00
_cell_angle_beta 90.00
_cell_angle_gamma 120.00
_symmetry_space_group_name_H-M 'P 3 m 1'
_symmetry_Int_Tables_number 156
loop_
_symmetry_equiv_pos_as_xyz
'x,y,z'
'-y,x-y,z'
'-x+y,-x,z'
'-y,-x,z'
'-x+y,y,z'
'x,x-y,z'
loop_
_atom_site_label
_atom_site_fract_x
_atom_site_fract_y
_atom_site_fract_z
Te1 0.0000 0.0000 0.0000
Te2 0.0000 0.0000 0.1680
Mo1 0.0000 0.0000 0.7581
Mo2 0.3333 0.6667 0.0840
W1 0.0000 0.0000 0.4125
Se1 0.3333 0.6667 0.3383
Se2 0.3333 0.6667 0.4867
Se3 0.3333 0.6667 0.6843
Se4 0.3333 0.6667 0.8320

# Te2MoWSe2 (GGA-PBE, optimized geometry)
# total magnetic moment: 0.000 μB/atom
# final energy: -6.527 eV per atom
# formation energy from raw total energies: -2.1 eV/f.u.
# DOS(E_F): 0.02 states/eV/cell
data_Te2MoWSe2
_chemical_formula_sum 'Te2 Mo1 W1 Se2'
_cell_length_a 3.4387
_cell_length_b 3.4387
_cell_length_c 14.5179
_cell_angle_alpha 90.00
_cell_angle_beta 90.00
_cell_angle_gamma 120.00
_symmetry_space_group_name_H-M 'P 3 m 1'
_symmetry_Int_Tables_number 156
loop_
_symmetry_equiv_pos_as_xyz
'x,y,z'
'-y,x-y,z'
'-x+y,-x,z'
'-y,-x,z'
'-x+y,y,z'
'x,x-y,z'
loop_
_atom_site_label
_atom_site_fract_x
_atom_site_fract_y
_atom_site_fract_z
Te1 0.0000 0.0000 0.0000
Te2 0.0000 0.0000 0.2570
Mo1 0.0000 0.0000 0.6295
W1 0.6667 0.3333 0.1285
Se1 0.6667 0.3333 0.5168
Se2 0.6667 0.3333 0.7421

# Te4MoW3Se4 (GGA-PBE, optimized geometry)
# total magnetic moment: 0.000 μB/atom
# final energy: -6.693 eV per atom
# formation energy from raw total energies: -4.1 eV/f.u.
data_Te4MoW3Se4
_chemical_formula_sum 'Te4 Mo1 W3 Se4'
_cell_length_a 3.4327
_cell_length_b 3.4327
_cell_length_c 29.1434
_cell_angle_alpha 90.00
_cell_angle_beta 90.00
_cell_angle_gamma 120.00
_symmetry_space_group_name_H-M 'P 3 m 1'
_symmetry_Int_Tables_number 156
loop_
_symmetry_equiv_pos_as_xyz
'x,y,z'
'-y,x-y,z'
'-x+y,-x,z'
'-y,-x,z'
'-x+y,y,z'
'x,x-y,z'
loop_
_atom_site_label
_atom_site_fract_x
_atom_site_fract_y
_atom_site_fract_z
Te1 0.0000 0.0000 0.0000
Te2 0.0000 0.0000 0.1282
Te3 0.3333 0.6667 0.7415
Te4 0.3333 0.6667 0.8691
Mo1 0.0000 0.0000 0.8053
W1 0.0000 0.0000 0.3143
W2 0.3333 0.6667 0.0641
W3 0.3333 0.6667 0.5558
Se1 0.0000 0.0000 0.4995
Se2 0.0000 0.0000 0.6122
Se3 0.3333 0.6667 0.2580
Se4 0.3333 0.6667 0.3707

# Te6Mo3WSe2 (GGA-PBE, optimized geometry)
# total magnetic moment: 0.000 μB/atom
# final energy: -6.250 eV per atom
# formation energy from raw total energies: -3.7 eV/f.u.
# DOS(E_F): 0.09 states/eV/cell
data_Te6Mo3WSe2
_chemical_formula_sum 'Te6 Mo3 W1 Se2'
_cell_length_a 3.4957
_cell_length_b 3.4957
_cell_length_c 29.4207
_cell_angle_alpha 90.00
_cell_angle_beta 90.00
_cell_angle_gamma 120.00
_symmetry_space_group_name_H-M 'P 3 m 1'
_symmetry_Int_Tables_number 156
loop_
_symmetry_equiv_pos_as_xyz
'x,y,z'
'-y,x-y,z'
'-x+y,-x,z'
'-y,-x,z'
'-x+y,y,z'
'x,x-y,z'
loop_
_atom_site_label
_atom_site_fract_x
_atom_site_fract_y
_atom_site_fract_z
Te1 0.0000 0.0000 0.0000
Te2 0.0000 0.0000 0.1246
Te3 0.0000 0.0000 0.4868
Te4 0.0000 0.0000 0.6121
Te5 0.6667 0.3333 0.7427
Te6 0.6667 0.3333 0.8673
Mo1 0.0000 0.0000 0.3064
Mo2 0.0000 0.0000 0.8050
Mo3 0.6667 0.3333 0.0623
W1 0.6667 0.3333 0.5494
Se1 0.6667 0.3333 0.2514
Se2 0.6667 0.3333 0.3614

# Te2MoW3Se6 (GGA-PBE, optimized geometry)
# total magnetic moment: 0.000 μB/atom
# final energy: -6.878 eV per atom
# formation energy from raw total energies: -5.7 eV/f.u.
data_Te2MoW3Se6
_chemical_formula_sum 'Te2 Mo1 W3 Se6'
_cell_length_a 3.3753
_cell_length_b 3.3753
_cell_length_c 28.8652
_cell_angle_alpha 90.00
_cell_angle_beta 90.00
_cell_angle_gamma 120.00
_symmetry_space_group_name_H-M 'P 3 m 1'
_symmetry_Int_Tables_number 156
loop_
_symmetry_equiv_pos_as_xyz
'x,y,z'
'-y,x-y,z'
'-x+y,-x,z'
'-y,-x,z'
'-x+y,y,z'
'x,x-y,z'
loop_
_atom_site_label
_atom_site_fract_x
_atom_site_fract_y
_atom_site_fract_z
Te1 0.0000 0.0000 0.0000
Te2 0.0000 0.0000 0.1305
Mo1 0.3333 0.6667 0.0652
W1 0.0000 0.0000 0.3201
W2 0.0000 0.0000 0.8090
W3 0.3333 0.6667 0.5641
Se1 0.0000 0.0000 0.5064
Se2 0.0000 0.0000 0.6217
Se3 0.3333 0.6667 0.2624
Se4 0.3333 0.6667 0.3777
Se5 0.3333 0.6667 0.7514
Se6 0.3333 0.6667 0.8667

# TiMoSe3 (GGA-PBE, optimized geometry)
# total magnetic moment: 0.796 μB/atom
# final energy: -5.577 eV per atom
# formation energy from raw total energies: 1.3 eV/f.u.
# DOS(E_F): 2.06 states/eV/cell
data_TiMoSe3
_chemical_formula_sum 'Ti1 Mo1 Se3'
_cell_length_a 4.917
_cell_length_b 4.917
_cell_length_c 4.917
_cell_angle_alpha 90.00
_cell_angle_beta 90.00
_cell_angle_gamma 90.00
_symmetry_space_group_name_H-M 'P m -3 m'
_symmetry_Int_Tables_number 221
_symmetry_space_group_name_Hall '-P 4 2 3'
loop_
_atom_site_label
_atom_site_fract_x
_atom_site_fract_y
_atom_site_fract_z
Ti1 0.000 0.000 0.000
Mo1 0.500 0.500 0.500
Se1 0.000 0.000 0.500